Below is a geometry-optimized Ce3ThZr2As6 structure, with properties calculated at the PBE level.

Cell: 7.1047 7.1047 7.1176 Å, 99.62 99.62 120.06°
Positions (direct):
As 0.7309 0.7309 0.2343
As 0.0803 0.4267 0.2399
As 0.4267 0.0803 0.2399
As 0.5733 0.9197 0.7601
As 0.2691 0.2691 0.7657
As 0.9197 0.5733 0.7601
Ce 0.5000 0.5000 0.5000
Ce 0.8376 0.1624 0.5000
Ce 0.1624 0.8376 0.5000
Th 0.0000 0.0000 0.0000
Zr 0.6682 0.3318 0.0000
Zr 0.3318 0.6682 0.0000

Calculated volume in Å³/cell: 293.0
Calculated total energy in eV per atom: -7.1734
Crystal system: monoclinic
Energy of formation from the pure elements in eV per atom: -1.322